# MgCr2O4 | Alexandria | GGA+U | relaxed
data_MgCr2O4
_cell_length_a 6.0041
_cell_length_b 6.0041
_cell_length_c 8.4831
_cell_angle_alpha 90.00
_cell_angle_beta 90.00
_cell_angle_gamma 90.00
_space_group_name_H-M_alt 'I 41/a m d'
_space_group_IT_number 141
loop_
_space_group_symop_operation_xyz
'x,y,z'
'-x,-y,-z'
'-y+1/4,x+3/4,z+1/4'
'y+1/4,-x+3/4,-z+1/4'
'-x+1/2,-y,z+1/2'
'x+1/2,y,-z+1/2'
'y+1/4,-x+1/4,z+3/4'
'-y+1/4,x+1/4,-z+3/4'
'x,-y,-z'
'-x,y,z'
'-y+1/4,-x+1/4,-z+3/4'
'y+1/4,x+1/4,z+3/4'
'-x+1/2,y,-z+1/2'
'x+1/2,-y,z+1/2'
'y+1/4,x+3/4,-z+1/4'
'-y+1/4,-x+3/4,z+1/4'
'x+1/2,y+1/2,z+1/2'
'-x+1/2,-y+1/2,-z+1/2'
'-y+3/4,x+1/4,z+3/4'
'y+3/4,-x+1/4,-z+3/4'
'-x,-y+1/2,z'
'x,y+1/2,-z'
'y+3/4,-x+3/4,z+1/4'
'-y+3/4,x+3/4,-z+1/4'
'x+1/2,-y+1/2,-z+1/2'
'-x+1/2,y+1/2,z+1/2'
'-y+3/4,-x+3/4,-z+1/4'
'y+3/4,x+3/4,z+1/4'
'-x,y+1/2,-z'
'x,-y+1/2,z'
'y+3/4,x+1/4,-z+3/4'
'-y+3/4,-x+1/4,z+3/4'
loop_
_atom_site_label
_atom_site_type_symbol
_atom_site_fract_x
_atom_site_fract_y
_atom_site_fract_z
Mg1 Mg 0.0000 0.2500 0.3750
Cr1 Cr 0.0000 0.0000 0.0000
O1 O 0.0000 0.0222 0.7609
# Total magnetic moment, μB per atom: 0.86
# Energy, eV per atom: -7.451